[1]
The following is a GGA-PBE calculation of a relaxed Tb3PmNd2Bi6 crystal, from Alexandria.

Results
Formation energy from the elements ... -0.91 eV per atom
Space group ... C2/m
Total magnetic moment ... 0.00 μB per formula unit

Cell lengths 10.1607, 10.1607, 9.0894 Å; angles 102.84, 102.84, 25.86 degrees
Last column: nearest neighbours and their distance in Å.
Atoms (fractional coordinates):
Tb 0.0000 0.0000 0.0000  6 Bi 3.18-3.19
Tb 0.3331 0.3331 0.6665  6 Bi 3.18-3.19
Tb 0.6669 0.6669 0.3335  6 Bi 3.18-3.19
Pm 0.0000 0.0000 0.5000  6 Bi 3.24
Nd 0.3335 0.3335 0.1668  6 Bi 3.25
Nd 0.6665 0.6665 0.8332  6 Bi 3.25
Bi 0.1650 0.1650 0.0877  3 Tb 3.18, 3 Nd 3.25
Bi 0.1678 0.1678 0.5788  3 Tb 3.18-3.19, 1 Pm 3.24, 2 Nd 3.25
Bi 0.4982 0.4982 0.7529  3 Tb 3.18-3.19, 2 Pm 3.24, 1 Nd 3.25
Bi 0.5018 0.5018 0.2471  3 Tb 3.18-3.19, 2 Pm 3.24, 1 Nd 3.25
Bi 0.8322 0.8322 0.4212  3 Tb 3.18-3.19, 1 Pm 3.24, 2 Nd 3.25
Bi 0.8350 0.8350 0.9123  3 Tb 3.18, 3 Nd 3.25

---

[2]
The following is a GGA-PBE calculation of a relaxed KPmCdO3 crystal, from Alexandria.

Results
Uncorrected formation energy ... -2.059 eV/atom
Space group ... P2_1/m
Total magnetic moment ... 0.00 μB per formula unit

Cell lengths 6.4007, 3.5455, 8.4516 Å; angles 90.00, 91.45, 90.00 degrees
Last column: nearest neighbours and their distance in Å.
Atoms (fractional coordinates):
K 0.0720 0.2500 0.1647  6 O 2.64-2.85
K 0.9280 0.7500 0.8353  6 O 2.64-2.85
Pm 0.4270 0.2500 0.8173  6 O 2.36-2.42
Pm 0.5730 0.7500 0.1827  6 O 2.36-2.42
Cd 0.2362 0.7500 0.4940  6 O 2.33-2.59
Cd 0.7638 0.2500 0.5060  6 O 2.33-2.59
O 0.1176 0.2500 0.6470  3 Cd 2.33-2.53, 1 Pm 2.42
O 0.3099 0.7500 0.9761  3 Pm 2.36-2.39
O 0.4214 0.2500 0.3370  2 Pm 2.42, 3 Cd 2.53-2.59, 1 K 2.64
O 0.5786 0.7500 0.6630  2 Pm 2.42, 3 Cd 2.53-2.59, 1 K 2.64
O 0.6901 0.2500 0.0239  3 Pm 2.36-2.39
O 0.8824 0.7500 0.3530  3 Cd 2.33-2.53, 1 Pm 2.42

---

[3]
The following is a GGA-PBE calculation of a relaxed PrDy6Y2 crystal, from Alexandria.

Results
Formation energy from the elements ... 0.22 eV per atom
Space group ... P-3m1
Energy relative to the lowest polymorph listed for this composition ... 0.0202 eV per atom
Total magnetic moment ... 0.00 μB per formula unit

Cell lengths 7.4053, 7.4053, 6.1358 Å; angles 90.00, 90.00, 120.00 degrees
Last column: nearest neighbours and their distance in Å.
Atoms (fractional coordinates):
Pr 0.0000 0.0000 0.0000  6 Dy 3.02
Dy 0.1873 0.3745 0.2993  1 Pr 3.02, 2 Dy 3.25
Dy 0.1873 0.8127 0.2993  1 Pr 3.02, 2 Dy 3.25
Dy 0.3745 0.1873 0.7007  1 Pr 3.02, 2 Dy 3.25
Dy 0.6255 0.8127 0.2993  1 Pr 3.02, 2 Dy 3.25
Dy 0.8127 0.1873 0.7007  1 Pr 3.02, 2 Dy 3.25
Dy 0.8127 0.6255 0.7007  1 Pr 3.02, 2 Dy 3.25
Y 0.3333 0.6667 0.7922  12 Dy 3.56-3.75
Y 0.6667 0.3333 0.2078  12 Dy 3.56-3.75

---

[4]
The following is a GGA-PBE calculation of a relaxed Ac2LaPm2Tm crystal, from Alexandria.

Results
Formation energy from the elements ... 0.08 eV per atom
Space group ... Pmma
Total magnetic moment ... 0.00 μB per formula unit

Cell lengths 7.3736, 5.9324, 10.2829 Å; angles 90.00, 90.00, 90.00 degrees
Last column: nearest neighbours and their distance in Å.
Atoms (fractional coordinates):
Ac 0.0000 0.0000 0.0000  6 Ac 3.69-3.92, 2 Tm 3.91, 6 Pm 3.92-3.97
Ac 0.2500 0.5000 0.1725  5 Pm 3.44-3.69, 2 La 3.84
Ac 0.5000 0.0000 0.0000  6 Ac 3.69-3.92, 2 Tm 3.91, 6 Pm 3.92-3.97
Ac 0.7500 0.5000 0.8275  5 Pm 3.44-3.69, 2 La 3.84
La 0.0000 0.5000 0.5000  2 La 3.69, 6 Pm 3.83-3.85, 2 Ac 3.84, 4 Tm 3.88
La 0.5000 0.5000 0.5000  2 La 3.69, 6 Pm 3.83-3.85, 2 Ac 3.84, 4 Tm 3.88
Pm 0.2500 0.0000 0.3422  3 Tm 3.32-3.69, 2 Ac 3.44
Pm 0.2500 0.5000 0.8268  2 Tm 3.40, 3 Ac 3.55-3.69
Pm 0.7500 0.0000 0.6578  3 Tm 3.32-3.69, 2 Ac 3.44
Pm 0.7500 0.5000 0.1732  2 Tm 3.40, 3 Ac 3.55-3.69
Tm 0.2500 0.0000 0.6647  5 Pm 3.32-3.69
Tm 0.7500 0.0000 0.3353  5 Pm 3.32-3.69

---

[5]
The following is a GGA-PBE calculation of a relaxed HfPa2VN5 crystal, from Alexandria.

Results
Uncorrected formation energy ... -1.486 eV/atom
Space group ... Cmc2_1
Total magnetic moment ... 0.00 μB per formula unit

Cell lengths 6.8104, 6.8104, 10.1799 Å; angles 90.00, 90.00, 152.02 degrees
Last column: nearest neighbours and their distance in Å.
Atoms (fractional coordinates):
Hf 0.2071 0.7929 0.5000  6 N 2.17-2.29
Hf 0.7929 0.2071 0.0000  6 N 2.17-2.29
Pa 0.1074 0.8926 0.1792  6 N 2.32-2.50
Pa 0.1430 0.8570 0.7947  7 N 2.38-2.64
Pa 0.8570 0.1430 0.2947  7 N 2.38-2.64
Pa 0.8926 0.1074 0.6792  6 N 2.32-2.50
V 0.4769 0.5231 0.9593  4 N 1.94-2.05
V 0.5231 0.4769 0.4593  4 N 1.94-2.05
N 0.0473 0.9527 0.5555  2 V 1.94
N 0.2816 0.7184 0.1554  2 Hf 2.29, 3 Pa 2.32-2.39
N 0.3231 0.6769 0.8618  2 Hf 2.20, 1 V 2.26
N 0.3710 0.6290 0.4965  1 V 2.05, 1 Hf 2.17
N 0.4861 0.5139 0.2749  1 V 1.94
N 0.5139 0.4861 0.7749  1 V 1.94
N 0.6290 0.3710 0.9965  1 V 2.05, 1 Hf 2.17
N 0.6769 0.3231 0.3618  2 Hf 2.20, 1 V 2.26
N 0.7184 0.2816 0.6554  2 Hf 2.29, 3 Pa 2.32-2.39
N 0.9527 0.0473 0.0555  2 V 1.94

---

[6]
The following is a GGA-PBE calculation of a relaxed EuYAgGe crystal, from Alexandria.

Results
Formation energy from the elements ... -0.52 eV per atom
Space group ... F-43m
Total magnetic moment ... 7.24 μB per formula unit

Cell lengths 5.1936, 5.1936, 5.1936 Å; angles 60.00, 60.00, 60.00 degrees
Last column: nearest neighbours and their distance in Å.
Atoms (fractional coordinates):
Eu 0.0000 0.0000 0.0000  4 Ge 3.18, 4 Ag 3.18
Y 0.5000 0.5000 0.5000  4 Ge 3.18, 4 Ag 3.18
Ag 0.7500 0.7500 0.7500  4 Y 3.18, 4 Eu 3.18
Ge 0.2500 0.2500 0.2500  4 Y 3.18, 4 Eu 3.18

---

[7]
The following is a GGA-PBE calculation of a relaxed TbZn4Au2 crystal, from Alexandria.

Results
Formation energy from the elements ... -0.38 eV per atom
Space group ... Cmmm
Energy relative to the lowest polymorph listed for this composition ... 0.0250 eV per atom
Total magnetic moment ... 0.00 μB per formula unit

Cell lengths 8.5804, 8.5804, 3.9202 Å; angles 90.00, 90.00, 153.29 degrees
Last column: nearest neighbours and their distance in Å.
Atoms (fractional coordinates):
Tb 0.0000 0.0000 0.0000  8 Au 3.11
Zn 0.1895 0.8105 0.5000  2 Au 2.66, 8 Zn 2.77-2.83
Zn 0.3070 0.6930 0.0000  2 Au 2.69, 8 Zn 2.75-2.79
Zn 0.6930 0.3070 0.0000  2 Au 2.69, 8 Zn 2.75-2.79
Zn 0.8105 0.1895 0.5000  2 Au 2.66, 8 Zn 2.77-2.83
Au 0.4171 0.5829 0.5000  4 Zn 2.66-2.69, 1 Au 2.77
Au 0.5829 0.4171 0.5000  4 Zn 2.66-2.69, 1 Au 2.77

---

[8]
The following is a GGA-PBE calculation of a relaxed B5C7 crystal, from Alexandria.

Results
Formation energy from the elements ... 0.37 eV per atom
Space group ... P3m1
Energy relative to the lowest polymorph listed for this composition ... 0.1170 eV per atom
Total magnetic moment ... 0.00 μB per formula unit

Cell lengths 2.5845, 2.5845, 13.5308 Å; angles 90.00, 90.00, 120.00 degrees
Last column: nearest neighbours and their distance in Å.
Atoms (fractional coordinates):
B 0.0000 0.0000 0.0000  4 C 1.63-1.65
B 0.0000 0.0000 0.4847  4 C 1.62-1.64
B 0.3333 0.6667 0.1636  4 C 1.57-1.64
B 0.3333 0.6667 0.6484  1 C 1.53
B 0.6667 0.3333 0.7249  1 C 1.59
C 0.0000 0.0000 0.3651  3 C 1.58, 1 B 1.62
C 0.0000 0.0000 0.8779  3 C 1.57, 1 B 1.65
C 0.3333 0.6667 0.0476  4 B 1.57-1.63
C 0.3333 0.6667 0.5350  4 B 1.53-1.64
C 0.6667 0.3333 0.2146  1 C 1.51, 3 B 1.64
C 0.6667 0.3333 0.3260  4 C 1.51-1.58
C 0.6667 0.3333 0.8424  3 C 1.57, 1 B 1.59

---

[9]
The following is a GGA-PBE calculation of a relaxed Te2IBr8 crystal, from Alexandria.

Results
Uncorrected formation energy ... -0.182 eV/atom
Space group ... C2/m
Total magnetic moment ... 0.99 μB per formula unit

Cell lengths 7.5171, 7.5171, 9.2367 Å; angles 97.29, 97.29, 94.67 degrees
Last column: nearest neighbours and their distance in Å.
Atoms (fractional coordinates):
Te 0.1245 0.1245 0.2182  4 Br 2.53-2.67
Te 0.8755 0.8755 0.7818  4 Br 2.53-2.67
I 0.0000 0.0000 0.5000  2 Te 3.10
Br 0.1354 0.6552 0.7669  1 Te 2.67
Br 0.1814 0.1814 0.9511  1 Te 2.64
Br 0.3448 0.8646 0.2331  1 Te 2.67
Br 0.3669 0.3669 0.3462  1 Te 2.53
Br 0.6331 0.6331 0.6538  1 Te 2.53
Br 0.6552 0.1354 0.7669  1 Te 2.67
Br 0.8186 0.8186 0.0489  1 Te 2.64
Br 0.8646 0.3448 0.2331  1 Te 2.67

---

[10]
The following is a GGA-PBE calculation of a relaxed AcSmMgAu crystal, from Alexandria.

Results
Formation energy from the elements ... -0.33 eV per atom
Space group ... F-43m
Total magnetic moment ... 0.00 μB per formula unit

Cell lengths 5.4919, 5.4919, 5.4919 Å; angles 60.00, 60.00, 60.00 degrees
Last column: nearest neighbours and their distance in Å.
Atoms (fractional coordinates):
Ac 0.0000 0.0000 0.0000  4 Au 3.36, 4 Mg 3.36
Sm 0.5000 0.5000 0.5000  4 Au 3.36, 4 Mg 3.36
Mg 0.2500 0.2500 0.2500  4 Sm 3.36, 4 Ac 3.36
Au 0.7500 0.7500 0.7500  4 Sm 3.36, 4 Ac 3.36

---

[11]
The following is a GGA-PBE calculation of a relaxed SiP2Ru crystal, from Alexandria.

Results
Uncorrected formation energy ... 0.121 eV/atom
Space group ... P4/mmm
Total magnetic moment ... 0.00 μB per formula unit

Cell lengths 2.9058, 2.9058, 6.5593 Å; angles 90.00, 90.00, 90.00 degrees
Last column: nearest neighbours and their distance in Å.
Atoms (fractional coordinates):
Si 0.0000 0.0000 0.0000  8 P 2.72, 4 Si 2.91
P 0.5000 0.5000 0.2717  4 Ru 2.54, 4 Si 2.72
P 0.5000 0.5000 0.7283  4 Ru 2.54, 4 Si 2.72
Ru 0.0000 0.0000 0.5000  8 P 2.54

---

[12]
The following is a GGA-PBE calculation of a relaxed Pr3CdOs crystal, from Alexandria.

Results
Formation energy from the elements ... 0.06 eV per atom
Space group ... Pm-3m
Energy relative to the lowest polymorph listed for this composition ... 0.2230 eV per atom
Total magnetic moment ... 0.00 μB per formula unit

Cell lengths 5.5920, 5.5920, 5.5920 Å; angles 90.00, 90.00, 90.00 degrees
Last column: nearest neighbours and their distance in Å.
Atoms (fractional coordinates):
Pr 0.0000 0.0000 0.5000  2 Os 2.80
Pr 0.0000 0.5000 0.0000  2 Os 2.80
Pr 0.5000 0.0000 0.0000  2 Os 2.80
Cd 0.5000 0.5000 0.5000  12 Pr 3.95
Os 0.0000 0.0000 0.0000  6 Pr 2.80